Here is crystalline Pr3MgPa2N6 at its relaxed geometry from Alexandria via LeMat-Bulk. Energies are from GGA-PBE.

The space group is C2/m (No. 12) and the conventional cell measures 6.0926, 10.5599 and 6.2608 Å, with angles of 90.00, 108.88 and 90.00 degrees. The asymmetric unit holds Pr at (0.0000, 0.0000, 0.0000), Pr at (0.0000, 0.3361, 0.0000), Mg at (0.0000, 0.5000, 0.5000), Pa at (0.0000, 0.1669, 0.5000), N at (0.2242, 0.0000, 0.7135) and N at (0.2455, 0.3262, 0.7150).

The magnetic moment is 0.00 μB per formula unit. For the raw formation energy, the calculation gives -1370 meV/atom.


Here is crystalline GdHoSc at its relaxed geometry from Alexandria via LeMat-Bulk. Energies are from GGA-PBE.

The space group is I4mm (No. 107) and the conventional cell measures 3.4868, 3.4868 and 14.4158 Å, with angles of 90.00, 90.00 and 90.00 degrees. The asymmetric unit holds Gd at (0.0000, 0.0000, 0.0000), Ho at (0.0000, 0.0000, 0.6784) and Sc at (0.0000, 0.0000, 0.3370).

As for the formation energy: 1.10 kcal/mol of atoms. The energy above the most stable polymorph in this dataset is 0 meV per atom. The magnetic moment is 7.26 μB per formula unit.


Here is crystalline SrMoPt at its relaxed geometry from Alexandria via LeMat-Bulk. Energies are from GGA-PBE.

The space group is Imm2 (No. 44) and the conventional cell measures 3.8416, 16.7764 and 4.3747 Å, with angles of 90.00, 90.00 and 90.00 degrees. The asymmetric unit holds Sr at (0.0000, 0.1731, 0.0000), Mo at (0.0000, 0.0000, 0.6170), Mo at (0.0000, 0.5000, 0.4984) and Pt at (0.0000, 0.3912, 0.9894).

As for the formation energy: -2.04 kcal/mol of atoms. The energy above the most stable polymorph in this dataset is 44 meV per atom. The magnetic moment is 0.00 μB per formula unit.


Here is crystalline TlRe3Br at its relaxed geometry from Alexandria via LeMat-Bulk. Energies are from GGA-PBE.

The space group is Pm-3m (No. 221) and the conventional cell measures 4.6268, 4.6268 and 4.6268 Å, with angles of 90.00, 90.00 and 90.00 degrees. The asymmetric unit holds Tl at (0.0000, 0.0000, 0.0000), Re at (0.0000, 0.5000, 0.5000) and Br at (0.5000, 0.5000, 0.5000).

The energy above the most stable polymorph in this dataset is 0 meV per atom. The magnetic moment is 2.01 μB per formula unit. For the raw formation energy, the calculation gives 2391 meV/atom.


Here is crystalline LaTbPr2Dy2 at its relaxed geometry from Alexandria via LeMat-Bulk. Energies are from GGA-PBE.

The space group is Pnnm (No. 58) and the conventional cell measures 7.1064, 9.9912 and 5.7405 Å, with angles of 90.00, 90.00 and 90.00 degrees. The asymmetric unit holds La at (0.0000, 0.0000, 0.0000), Tb at (0.0000, 0.5000, 0.5000), Pr at (0.2475, 0.3330, 0.0000) and Dy at (0.2504, 0.1664, 0.5000).

As for the formation energy: 1.38 kcal/mol of atoms. The magnetic moment is 0.00 μB per formula unit.


Here is crystalline CsTl2Ag2 at its relaxed geometry from Alexandria via LeMat-Bulk. Energies are from GGA-PBE.

The space group is I4/mmm (No. 139) and the conventional cell measures 5.2964, 5.2964 and 11.5675 Å, with angles of 90.00, 90.00 and 90.00 degrees. The asymmetric unit holds Cs at (0.0000, 0.0000, 0.0000), Tl at (0.0000, 0.5000, 0.2500) and Ag at (0.0000, 0.0000, 0.3778).

As for the formation energy: 1.31 kcal/mol of atoms. The energy above the most stable polymorph in this dataset is 48 meV per atom. The magnetic moment is 0.00 μB per formula unit.


Here is crystalline ErLuPuZr at its relaxed geometry from Alexandria via LeMat-Bulk. Energies are from GGA-PBE.

The space group is F-43m (No. 216) and the conventional cell measures 7.5693, 7.5693 and 7.5693 Å, with angles of 90.00, 90.00 and 90.00 degrees. The asymmetric unit holds Er at (0.0000, 0.0000, 0.0000), Lu at (0.2500, 0.2500, 0.7500), Pu at (0.0000, 0.0000, 0.5000) and Zr at (0.2500, 0.2500, 0.2500).

As for the formation energy: 5.17 kcal/mol of atoms. The magnetic moment is 7.15 μB per formula unit.


Here is crystalline MgCo2Au at its relaxed geometry from Alexandria via LeMat-Bulk. Energies are from GGA-PBE.

The space group is C2/m (No. 12) and the conventional cell measures 5.2075, 9.1295 and 2.7241 Å, with angles of 90.00, 116.35 and 90.00 degrees. The asymmetric unit holds Mg at (0.0000, 0.0000, 0.0000), Co at (0.2500, 0.2500, 0.5000) and Au at (0.0000, 0.5000, 0.0000).

As for the formation energy: 3.55 kcal/mol of atoms. The magnetic moment is 3.15 μB per formula unit.


Here is crystalline RbNp2PtSe4 at its relaxed geometry from Alexandria via LeMat-Bulk. Energies are from GGA-PBE.

The space group is Cmcm (No. 63) and the conventional cell measures 4.1650, 14.3551 and 14.3899 Å, with angles of 90.00, 90.00 and 90.00 degrees. The asymmetric unit holds Rb at (0.0000, 0.1146, 0.2500), Np at (0.0000, 0.3676, 0.0664), Pt at (0.0000, 0.1592, 0.7500), Se at (0.0000, 0.0000, 0.0000), Se at (0.0000, 0.2634, 0.6048) and Se at (0.0000, 0.4376, 0.2500).

The magnetic moment is 7.09 μB per formula unit. For the raw formation energy, the calculation gives -1017 meV/atom.


Here is crystalline LiMg4Al at its relaxed geometry from Alexandria via LeMat-Bulk. Energies are from GGA-PBE.

The space group is F-43m (No. 216) and the conventional cell measures 8.1857, 8.1857 and 8.1857 Å, with angles of 90.00, 90.00 and 90.00 degrees. The asymmetric unit holds Li at (0.0000, 0.0000, 0.0000), Mg at (0.1248, 0.1248, 0.6248) and Al at (0.2500, 0.2500, 0.2500).

As for the formation energy: 3.50 kcal/mol of atoms. The energy above the most stable polymorph in this dataset is 188 meV per atom. The magnetic moment is 0.00 μB per formula unit.


Here is crystalline CeTmTh2Se5 at its relaxed geometry from Alexandria via LeMat-Bulk. Energies are from GGA-PBE.

The space group is P4/mmm (No. 123) and the conventional cell measures 5.0084, 5.0084 and 10.9521 Å, with angles of 90.00, 90.00 and 90.00 degrees. The asymmetric unit holds Ce at (0.0000, 0.0000, 0.0000), Tm at (0.0000, 0.0000, 0.5000), Th at (0.5000, 0.5000, 0.3299), Se at (0.0000, 0.0000, 0.2530), Se at (0.0000, 0.5000, 0.5000) and Se at (0.5000, 0.5000, 0.0000).

The magnetic moment is 1.42 μB per formula unit. For the raw formation energy, the calculation gives -1066 meV/atom.


Here is crystalline MnInGaW2 at its relaxed geometry from Alexandria via LeMat-Bulk. Energies are from GGA-PBE.

The space group is P4/mmm (No. 123) and the conventional cell measures 4.5561, 4.5561 and 4.5052 Å, with angles of 90.00, 90.00 and 90.00 degrees. The asymmetric unit holds Mn at (0.0000, 0.0000, 0.0000), In at (0.5000, 0.5000, 0.5000), Ga at (0.0000, 0.0000, 0.5000) and W at (0.0000, 0.5000, 0.0000).

As for the formation energy: 24.41 kcal/mol of atoms. The energy above the most stable polymorph in this dataset is 0 meV per atom. The magnetic moment is 0.00 μB per formula unit.


Here is crystalline Pr4Se2SN2 at its relaxed geometry from Alexandria via LeMat-Bulk. Energies are from GGA-PBE.

The space group is C2/m (No. 12) and the conventional cell measures 15.5187, 4.0536 and 7.3059 Å, with angles of 90.00, 107.97 and 90.00 degrees. The asymmetric unit holds Pr at (0.0401, 0.0000, 0.2595), Pr at (0.2115, 0.5000, 0.6694), Se at (0.1267, 0.5000, 0.0368), S at (0.0000, 0.5000, 0.5000) and N at (0.1736, 0.0000, 0.4871).

The magnetic moment is 0.00 μB per formula unit. For the raw formation energy, the calculation gives -1699 meV/atom.


Here is crystalline MgNbIn2N4 at its relaxed geometry from Alexandria via LeMat-Bulk. Energies are from GGA-PBE.

The space group is I-42m (No. 121) and the conventional cell measures 4.9363, 4.9363 and 10.0549 Å, with angles of 90.00, 90.00 and 90.00 degrees. The asymmetric unit holds Mg at (0.0000, 0.0000, 0.0000), Nb at (0.0000, 0.0000, 0.5000), In at (0.0000, 0.5000, 0.2500) and N at (0.2347, 0.2347, 0.6126).

The magnetic moment is 0.00 μB per formula unit. For the raw formation energy, the calculation gives -331 meV/atom.


Here is crystalline AcAg6 at its relaxed geometry from Alexandria via LeMat-Bulk. Energies are from GGA-PBE.

The space group is Pm-3m (No. 221) and the conventional cell measures 6.3668, 6.3668 and 6.3668 Å, with angles of 90.00, 90.00 and 90.00 degrees. The asymmetric unit holds Ac at (0.0000, 0.0000, 0.0000) and Ag at (0.1980, 0.5000, 0.5000).

As for the formation energy: 17.02 kcal/mol of atoms. The energy above the most stable polymorph in this dataset is 901 meV per atom. The magnetic moment is 0.00 μB per formula unit.


Here is crystalline TbPr3Pb5 at its relaxed geometry from Alexandria via LeMat-Bulk. Energies are from GGA-PBE.

The space group is P6_3/mcm (No. 193) and the conventional cell measures 9.7805, 9.7805 and 6.6611 Å, with angles of 90.00, 90.00 and 120.00 degrees. The asymmetric unit holds Tb at (0.0000, 0.0000, 0.0000), Pr at (0.0000, 0.3816, 0.2500), Pb at (0.0000, 0.2830, 0.7500) and Pb at (0.3333, 0.6667, 0.0000).

As for the formation energy: -11.23 kcal/mol of atoms. The magnetic moment is 0.00 μB per formula unit.


Here is crystalline La3NdPb4 at its relaxed geometry from Alexandria via LeMat-Bulk. Energies are from GGA-PBE.

The space group is Immm (No. 71) and the conventional cell measures 3.7817, 7.6238 and 18.9787 Å, with angles of 90.00, 90.00 and 90.00 degrees. The asymmetric unit holds La at (0.0000, 0.0000, 0.0000), La at (0.0000, 0.5000, 0.2163), Nd at (0.0000, 0.0000, 0.5000) and Pb at (0.0000, 0.2861, 0.3730).

As for the formation energy: -10.27 kcal/mol of atoms. The energy above the most stable polymorph in this dataset is 121 meV per atom. The magnetic moment is 0.00 μB per formula unit.


Here is crystalline AgSnS2O8 at its relaxed geometry from Alexandria via LeMat-Bulk. Energies are from GGA-PBE.

The space group is R-3 (No. 148, hexagonal axes) and the conventional cell measures 4.9935, 4.9935 and 22.9142 Å, with angles of 90.00, 90.00 and 120.00 degrees. The asymmetric unit holds Ag at (0.0000, 0.0000, 0.0000), Sn at (0.0000, 0.0000, 0.5000), S at (0.0000, 0.0000, 0.2498), O at (0.0000, 0.0000, 0.3136) and O at (0.0032, 0.2853, 0.7730).

The magnetic moment is 0.93 μB per formula unit. For the raw formation energy, the calculation gives -1116 meV/atom.


Here is crystalline Pa2CdSb at its relaxed geometry from Alexandria via LeMat-Bulk. Energies are from GGA-PBE.

The space group is R-3m (No. 166, hexagonal axes) and the conventional cell measures 3.1968, 3.1968 and 36.1079 Å, with angles of 90.00, 90.00 and 120.00 degrees. The asymmetric unit holds Pa at (0.0000, 0.0000, 0.0915), Cd at (0.0000, 0.0000, 0.0000) and Sb at (0.0000, 0.0000, 0.5000).

The energy above the most stable polymorph in this dataset is 269 meV per atom. The magnetic moment is 0.00 μB per formula unit. For the raw formation energy, the calculation gives 205 meV/atom.


Here is crystalline TbSi2Ni2Pt at its relaxed geometry from Alexandria via LeMat-Bulk. Energies are from GGA-PBE.

The space group is P4/mmm (No. 123) and the conventional cell measures 4.5466, 4.5466 and 5.4026 Å, with angles of 90.00, 90.00 and 90.00 degrees. The asymmetric unit holds Tb at (0.0000, 0.0000, 0.0000), Si at (0.0000, 0.5000, 0.5000), Ni at (0.5000, 0.5000, 0.2625) and Pt at (0.0000, 0.0000, 0.5000).

The magnetic moment is 0.00 μB per formula unit. For the raw formation energy, the calculation gives -102 meV/atom.